The following is a DFT calculation (PBE) of a geometry-optimized TlZnCr3 structure.

Cell: 4.7359 4.7359 4.7359 Å, 90.00 90.00 90.00°
Last column: nearest neighbours and their distance in Å.
Positions (direct):
Zn (0.0000, 0.0000, 0.0000)  6 Cr 2.37
Cr (0.0000, 0.0000, 0.5000)  2 Zn 2.37
Cr (0.0000, 0.5000, 0.0000)  2 Zn 2.37
Cr (0.5000, 0.0000, 0.0000)  2 Zn 2.37
Tl (0.5000, 0.5000, 0.5000)  12 Cr 3.35

Computed properties:
For the excess energy over the best structure of this formula in the dataset, the calculation gives 0.000 eV per atom. As for the formation energy: 1.19 eV/atom. Its electronic total energy is -5.311 eV/atom.

The following is a DFT calculation (PBE) of a geometry-optimized Cs2U3PaS12 structure.

Cell: 9.5014 9.5014 9.5014 Å, 60.33 60.33 60.33°
Last column: nearest neighbours and their distance in Å.
Positions (direct):
U (0.5000, 0.0000, 0.0000)  6 S 2.56-2.57
U (0.0000, 0.5000, 0.0000)  6 S 2.56-2.57
U (0.0000, 0.0000, 0.5000)  6 S 2.56-2.57
S (0.0781, 0.6681, 0.0781)  1 U 2.56, 1 Pa 2.64
S (0.3319, 0.9219, 0.9219)  1 U 2.56, 1 Pa 2.64
S (0.9238, 0.3211, 0.3211)  2 U 2.57
S (0.3211, 0.3211, 0.9238)  2 U 2.57
S (0.0781, 0.0781, 0.6681)  1 U 2.56, 1 Pa 2.64
S (0.6681, 0.0781, 0.0781)  1 U 2.56, 1 Pa 2.64
S (0.6789, 0.0762, 0.6789)  2 U 2.57
S (0.0762, 0.6789, 0.6789)  2 U 2.57
S (0.9219, 0.3319, 0.9219)  1 U 2.56, 1 Pa 2.64
S (0.3211, 0.9238, 0.3211)  2 U 2.57
S (0.9219, 0.9219, 0.3319)  1 U 2.56, 1 Pa 2.64
S (0.6789, 0.6789, 0.0762)  2 U 2.57
Cs (0.6292, 0.6292, 0.6292)  6 S 3.94-4.15
Cs (0.3708, 0.3708, 0.3708)  6 S 3.94-4.15
Pa (0.0000, 0.0000, 0.0000)  6 S 2.64

Computed properties:
Its uncorrected formation energy is -1.23 eV per atom. Its electronic total energy is -6.484 eV/atom.